# CuHgTe2 (PBE, relaxed)
# **Space group**: No. 14
# **Raw formation energy**: 0.06 eV per atom
# **V**: 27.8 Å³ per atom
data_CuHgTe2
_chemical_formula_sum 'Cu4 Hg4 Te8'
_cell_length_a 21.598
_cell_length_b 4.874
_cell_length_c 9.035
_cell_angle_alpha 90.00
_cell_angle_beta 152.12
_cell_angle_gamma 90.00
_space_group_name_H-M_alt 'P 1'
_space_group_IT_number 1
loop_
_space_group_symop_operation_xyz
'x,y,z'
loop_
_atom_site_label
_atom_site_type_symbol
_atom_site_fract_x
_atom_site_fract_y
_atom_site_fract_z
Te1 Te 0.559 0.290 0.739
Te2 Te 0.886 0.424 0.344
Te3 Te 0.386 0.076 0.844
Te4 Te 0.114 0.576 0.656
Te5 Te 0.941 0.790 0.761
Te6 Te 0.614 0.924 0.156
Te7 Te 0.059 0.210 0.239
Te8 Te 0.441 0.710 0.261
Hg1 Hg 0.786 0.967 0.919
Hg2 Hg 0.286 0.533 0.419
Hg3 Hg 0.214 0.033 0.081
Hg4 Hg 0.714 0.467 0.581
Cu1 Cu 0.974 0.718 0.126
Cu2 Cu 0.474 0.782 0.626
Cu3 Cu 0.026 0.282 0.874
Cu4 Cu 0.526 0.218 0.374